[1]
DFT (PBE) results for Pu2Co3B2 after structural relaxation.

formation energy from the elements	-9.1	kJ per mole of atoms
electronic total energy	-9.142	eV per atom

Lattice parameters (Å, degrees): 5.0236 5.0236 6.2510 117.99 117.99 37.05
Last column: nearest neighbours and their distance in Å.
Fractional positions:
Pu (0.1704, 0.1704, 0.3452)  2 Pu 2.38
Pu (0.8296, 0.8296, 0.6548)  2 Pu 2.38
Co (0.3737, 0.3737, 0.0525)  3 B 2.05-2.09
Co (0.5000, 0.5000, 0.5000)  4 B 2.17
Co (0.6263, 0.6263, 0.9475)  3 B 2.05-2.09
B (0.1386, 0.1386, 0.7521)  5 Co 2.05-2.17
B (0.8614, 0.8614, 0.2479)  5 Co 2.05-2.17

=====

[2]
DFT (PBE) results for Cu2IrAu after structural relaxation.

formation energy from the elements	10.3	kJ per mole of atoms
electronic total energy	-4.976	eV per atom

Lattice parameters (Å, degrees): 2.7668 2.7668 7.4339 90.00 90.00 90.00
Last column: nearest neighbours and their distance in Å.
Fractional positions:
Cu (0.0000, 0.0000, 0.2374)  4 Ir 2.63, 4 Au 2.76, 4 Cu 2.77
Cu (0.0000, 0.0000, 0.7626)  4 Ir 2.63, 4 Au 2.76, 4 Cu 2.77
Ir (0.5000, 0.5000, 0.0000)  8 Cu 2.63, 4 Ir 2.77
Au (0.5000, 0.5000, 0.5000)  8 Cu 2.76, 4 Au 2.77

=====

[3]
DFT (PBE) results for ScRhPb2 after structural relaxation.

formation energy from the elements	-4.0	kJ per mole of atoms
electronic total energy	-5.316	eV per atom

Lattice parameters (Å, degrees): 8.9170 8.9170 8.9170 22.55 22.55 22.55
Last column: nearest neighbours and their distance in Å.
Fractional positions:
Sc (0.0000, 0.0000, 0.0000)  6 Pb 3.15, 6 Sc 3.49
Rh (0.5000, 0.5000, 0.5000)  6 Pb 2.78
Pb (0.2404, 0.2404, 0.2404)  3 Rh 2.78
Pb (0.7596, 0.7596, 0.7596)  3 Rh 2.78

=====

[4]
DFT (PBE) results for Li3BS3 after structural relaxation.

excess energy over the best structure of this formula in the dataset	0.0746	eV/atom
electronic total energy	-4.507	eV per atom

Lattice parameters (Å, degrees): 7.0000 7.0000 5.0069 90.00 90.00 102.40
Last column: nearest neighbours and their distance in Å.
Fractional positions:
Li (0.1101, 0.8899, 0.7500)  5 S 2.51-2.78
Li (0.1749, 0.3833, 0.7500)  4 S 2.46-2.58
Li (0.3833, 0.1749, 0.2500)  4 S 2.46-2.58
Li (0.6167, 0.8251, 0.7500)  4 S 2.46-2.58
Li (0.8251, 0.6167, 0.2500)  4 S 2.46-2.58
Li (0.8899, 0.1101, 0.2500)  5 S 2.51-2.78
B (0.2932, 0.7068, 0.2500)  3 S 1.82-1.86
B (0.7068, 0.2932, 0.7500)  3 S 1.82-1.86
S (0.1230, 0.8770, 0.2500)  1 B 1.86
S (0.1865, 0.4464, 0.2500)  1 B 1.82
S (0.4464, 0.1865, 0.7500)  1 B 1.82
S (0.5536, 0.8135, 0.2500)  1 B 1.82
S (0.8135, 0.5536, 0.7500)  1 B 1.82
S (0.8770, 0.1230, 0.7500)  1 B 1.86

=====

[5]
DFT (PBE) results for AcEr2Sn after structural relaxation.

excess energy over the best structure of this formula in the dataset	0.0000	eV/atom
formation energy from the elements	-30.2	kJ per mole of atoms
electronic total energy	-4.623	eV per atom

Lattice parameters (Å, degrees): 5.0067 5.0067 4.9038 90.00 90.00 90.00
Last column: nearest neighbours and their distance in Å.
Fractional positions:
Ac (0.0000, 0.0000, 0.0000)  8 Er 3.50, 4 Sn 3.54
Er (0.0000, 0.5000, 0.5000)  4 Ac 3.50, 4 Sn 3.50, 4 Er 3.54
Er (0.5000, 0.0000, 0.5000)  4 Ac 3.50, 4 Sn 3.50, 4 Er 3.54
Sn (0.5000, 0.5000, 0.0000)  8 Er 3.50, 4 Ac 3.54

=====

[6]
DFT (PBE) results for UMnRe2 after structural relaxation.

excess energy over the best structure of this formula in the dataset	0.1075	eV/atom
formation energy from the elements	24.5	kJ per mole of atoms
electronic total energy	-11.085	eV per atom

Lattice parameters (Å, degrees): 9.6831 9.6831 9.6831 16.37 16.37 16.37
Last column: nearest neighbours and their distance in Å.
Fractional positions:
U (0.0000, 0.0000, 0.0000)  6 U 2.76
Mn (0.5000, 0.5000, 0.5000)  6 Re 2.57, 6 Mn 2.76
Re (0.2373, 0.2373, 0.2373)  3 Mn 2.57, 6 Re 2.76
Re (0.7627, 0.7627, 0.7627)  3 Mn 2.57, 6 Re 2.76